(1)
Material: Pm3Nd12Hg
Method: DFT, PBE
State: optimized geometry

a = 5.1102 Å, b = 5.1102 Å, c = 20.7650 Å
α = 90.00°, β = 90.00°, γ = 90.00°
Sites, in units of the cell vectors:
Nd: 0.5000 0.0000 0.1195
Nd: 0.5000 0.0000 0.8805
Hg: 0.0000 0.0000 0.0000
Nd: 0.5000 0.0000 0.6271
Nd: 0.5000 0.5000 0.0000
Nd: 0.0000 0.5000 0.1195
Nd: 0.5000 0.0000 0.3729
Nd: 0.5000 0.5000 0.2436
Nd: 0.0000 0.5000 0.3729
Pm: 0.0000 0.0000 0.5000
Nd: 0.5000 0.5000 0.7564
Nd: 0.0000 0.5000 0.8805
Pm: 0.0000 0.0000 0.2462
Pm: 0.0000 0.0000 0.7538
Nd: 0.5000 0.5000 0.5000
Nd: 0.0000 0.5000 0.6271

**DFT formation energy**: -0.022 eV/atom


(2)
Material: ErZrMn17
Method: DFT, PBE
State: optimized geometry

a = 6.2612 Å, b = 6.2612 Å, c = 6.2612 Å
α = 86.15°, β = 86.15°, γ = 86.15°
Last column: magnetic moment on the atom in μB.
Sites, in units of the cell vectors:
Mn: 0.0995 0.0995 0.0995  -1.90
Mn: 0.9988 0.7243 0.2772  -0.79
Mn: 0.6425 0.6425 0.1237  2.14
Mn: 0.7243 0.2772 0.9988  -0.79
Mn: 0.8720 0.3603 0.3603  2.11
Mn: 0.9988 0.2772 0.7243  -0.79
Er: 0.3551 0.3551 0.3551  -0.11
Mn: 0.0002 0.0002 0.5005  0.29
Mn: 0.7243 0.9988 0.2772  -0.79
Mn: 0.3603 0.8720 0.3603  2.11
Zr: 0.6443 0.6443 0.6443  -0.18
Mn: 0.2772 0.7243 0.9988  -0.79
Mn: 0.6425 0.1237 0.6425  2.14
Mn: 0.1237 0.6425 0.6425  2.14
Mn: 0.8983 0.8983 0.8983  -1.87
Mn: 0.5005 0.0002 0.0002  0.29
Mn: 0.3603 0.3603 0.8720  2.11
Mn: 0.0002 0.5005 0.0002  0.29
Mn: 0.2772 0.9988 0.7243  -0.79

**DFT formation energy**: -0.022 eV/atom


(3)
Material: Zr2AlSi
Method: DFT, PBE
State: optimized geometry

a = 7.4127 Å, b = 7.4127 Å, c = 6.0024 Å
α = 51.87°, β = 51.87°, γ = 90.00°
Sites, in units of the cell vectors:
Al: 0.5000 0.5000 0.0000
Zr: 0.6370 0.1250 0.2500
Zr: 0.1130 0.6250 0.2500
Zr: 0.8750 0.8870 0.7500
Al: 0.2500 0.7500 0.5000
Si: 0.7500 0.2500 0.5000
Zr: 0.3750 0.3630 0.7500
Si: 0.0000 0.0000 0.0000

**Formation energy without anion corrections**: -0.95 eV/f.u.
**Excess energy over the best structure of this formula in the dataset**: 11.451 kcal/mol of atoms


| no. | total energy (eV per formula unit) |
| --- | --- |
| 1 | -72.12 |
| 2 | -169.42 |
| 3 | -27.21 |